Compound: AcZn2CdPd5
Source: Alexandria via LeMat-Bulk
Functional: PBE
Structure: optimized geometry

## Properties
Calculated total energy in eV per atom: -4.150
V in Å³/cell: 171.4
D(E_F) in states/eV/cell: 2.83
Formation energy in eV per formula unit: -3.8
Symmetry: No. 123

Unit cell a=4.7850 b=4.7850 c=7.4861 alpha=90.00 beta=90.00 gamma=90.00
Element x y z (fractional)
Ac1 0.0000 0.0000 0.0000
Zn1 0.5000 0.5000 0.3404
Zn2 0.5000 0.5000 0.6596
Cd1 0.0000 0.0000 0.5000
Pd1 0.0000 0.5000 0.2720
Pd2 0.0000 0.5000 0.7280
Pd3 0.5000 0.0000 0.2720
Pd4 0.5000 0.0000 0.7280
Pd5 0.5000 0.5000 0.0000